## 1
TbIrI: relaxed, PBE.

Cell: 12.1659 12.1659 12.1659 Å, 20.44 20.44 20.44°
Closest atoms and distances in Å follow each position.
Positions (direct):
Tb 0.0506 0.0506 0.0506  6 Ir 3.06-3.10, 3 I 3.24
Tb 0.9494 0.9494 0.9494  6 Ir 3.06-3.10, 3 I 3.24
Ir 0.3344 0.3344 0.3344  3 Ir 2.49
Ir 0.6656 0.6656 0.6656  3 Ir 2.49
I 0.2249 0.2249 0.2249  3 Tb 3.24
I 0.7751 0.7751 0.7751  3 Tb 3.24

Summary:
* DOS at the Fermi energy: 1.46 states/eV/f.u.

## 2
TbIrI: relaxed, PBE.

Cell: 13.3799 3.9080 6.0522 Å, 90.00 94.26 90.00°
Closest atoms and distances in Å follow each position.
Positions (direct):
Tb 0.1610 0.0000 0.1587  3 Ir 2.82-2.91
Tb 0.3390 0.5000 0.8413  3 Ir 2.82-2.91
Tb 0.6610 0.5000 0.1587  3 Ir 2.82-2.91
Tb 0.8390 0.0000 0.8413  3 Ir 2.82-2.91
Ir 0.2127 0.0000 0.6345  2 Ir 2.78, 2 I 2.79, 3 Tb 2.82-2.91
Ir 0.2873 0.5000 0.3655  2 Ir 2.78, 2 I 2.79, 3 Tb 2.82-2.91
Ir 0.7127 0.5000 0.6345  2 Ir 2.78, 2 I 2.79, 3 Tb 2.82-2.91
Ir 0.7873 0.0000 0.3655  2 Ir 2.78, 2 I 2.79, 3 Tb 2.82-2.91
I 0.0805 0.5000 0.7639  2 Ir 2.79
I 0.4195 0.0000 0.2361  2 Ir 2.79
I 0.5805 0.0000 0.7639  2 Ir 2.79
I 0.9195 0.5000 0.2361  2 Ir 2.79

Summary:
* DOS at the Fermi energy: 1.92 states/eV/f.u.

Most stable structure among those shown: 1. Next: +661 meV/atom.